*P*
{"formula": "TcSnS2", "functional": "meta-GGA SCAN", "state": "PBEsol geometry", "space_group": "No. 166", "lattice": [[3.2284, 0.0000, 0.0000], [1.6142, 2.7959, 0.0000], [1.6142, 0.9320, 8.5713]], "species": ["S", "S", "Sn", "Tc"], "fractional_positions": [[0.8912, 0.8912, 0.3264], [0.1088, 0.1088, 0.6736], [0.0000, 0.0000, 0.0000], [0.5000, 0.5000, 0.5000]]}

*Q*
{"formula": "TcSnS2", "functional": "meta-GGA SCAN", "state": "PBEsol geometry", "space_group": "No. 225", "lattice": [[-0.9584, -0.6012, -4.3242], [-2.2487, -3.6353, -1.3063], [-4.2191, 0.3748, -1.4271]], "species": ["S", "S", "Sn", "Tc"], "fractional_positions": [[0.2500, 0.2500, 0.2500], [0.7500, 0.7500, 0.7500], [0.5000, 0.5000, 0.5000], [0.0000, 0.0000, 0.0000]]}

Need the numbers? Relative energies in kJ/mol of atoms: *P* 0.0; *Q* 69.6.

*P*
{"formula": "SrY2S4", "functional": "meta-GGA SCAN", "state": "PBEsol geometry", "space_group": "No. 62", "lattice": [[-2.1775, 3.2769, -0.3787], [-8.2341, -4.6609, 7.0150], [6.4723, 5.6098, 11.3245]], "species": ["Sr", "Sr", "Sr", "Sr", "Y", "Y", "Y", "Y", "Y", "Y", "Y", "Y", "S", "S", "S", "S", "S", "S", "S", "S", "S", "S", "S", "S", "S", "S", "S", "S"], "fractional_positions": [[0.7500, 0.2442, 0.6614], [0.2500, 0.7558, 0.3386], [0.7500, 0.7442, 0.8386], [0.2500, 0.2558, 0.1614], [0.7500, 0.5729, 0.6085], [0.2500, 0.4271, 0.3915], [0.7500, 0.0729, 0.8915], [0.2500, 0.9271, 0.1085], [0.7500, 0.0784, 0.3984], [0.2500, 0.9216, 0.6016], [0.7500, 0.5784, 0.1016], [0.2500, 0.4216, 0.8984], [0.7500, 0.3663, 0.0247], [0.2500, 0.6337, 0.9753], [0.7500, 0.8663, 0.4753], [0.2500, 0.1337, 0.5247], [0.2500, 0.7098, 0.6772], [0.7500, 0.2902, 0.3228], [0.2500, 0.2098, 0.8228], [0.7500, 0.7902, 0.1772], [0.2500, 0.4167, 0.5806], [0.7500, 0.5833, 0.4194], [0.2500, 0.9167, 0.9194], [0.7500, 0.0833, 0.0806], [0.2500, 0.0187, 0.2835], [0.7500, 0.9813, 0.7165], [0.2500, 0.5187, 0.2165], [0.7500, 0.4813, 0.7835]]}

*Q*
{"formula": "SrY2S4", "functional": "meta-GGA SCAN", "state": "PBEsol geometry", "space_group": "No. 122", "lattice": [[-4.8626, -0.4232, 5.3745], [6.6745, -1.0727, 2.6474], [-0.3503, 6.5795, -3.0490]], "species": ["Sr", "Sr", "Y", "Y", "Y", "Y", "S", "S", "S", "S", "S", "S", "S", "S"], "fractional_positions": [[0.7500, 0.2500, 0.5000], [0.5000, 0.5000, 0.0000], [0.6250, 0.9992, 0.8742], [0.2492, 0.3750, 0.3742], [0.1250, 0.7508, 0.1258], [0.0008, 0.8750, 0.6258], [0.0166, 0.2636, 0.9048], [0.3617, 0.1087, 0.5952], [0.7364, 0.6413, 0.7530], [0.3587, 0.1117, 0.0952], [0.5136, 0.7666, 0.4048], [0.8913, 0.4864, 0.2530], [0.2334, 0.6383, 0.7470], [0.8883, 0.9834, 0.2470]]}

Need the numbers? Relative energies in kJ/mol of atoms: *P* 0.0; *Q* 8.2.

*P*
{"formula": "ZrTaS2", "functional": "meta-GGA SCAN", "state": "PBEsol geometry", "space_group": "No. 225", "lattice": [[4.4081, 0.0000, 0.0000], [2.2040, 3.8175, 0.0000], [2.2040, 1.2725, 3.5992]], "species": ["S", "S", "Zr", "Ta"], "fractional_positions": [[0.2500, 0.2500, 0.2500], [0.7500, 0.7500, 0.7500], [0.0000, 0.0000, 0.0000], [0.5000, 0.5000, 0.5000]]}

*Q*
{"formula": "ZrTaS2", "functional": "meta-GGA SCAN", "state": "PBEsol geometry", "space_group": "No. 166", "lattice": [[-3.1764, -0.0541, 0.2185], [-1.7534, -0.8889, -2.5052], [-1.3268, -8.3213, 1.8573]], "species": ["S", "S", "Zr", "Ta"], "fractional_positions": [[0.8985, 0.8985, 0.3045], [0.1015, 0.1015, 0.6955], [0.0000, 0.0000, 0.0000], [0.5000, 0.5000, 0.5000]]}

Need the numbers? Relative energies in kJ/mol of atoms: *P* 0.0; *Q* 14.4.